Record 1
DFT (PBE) results for a relaxed CrHW2 crystal.

abc: 6.6146 6.6146 5.1931
angles: 50.44 50.44 90.00
Last column: magnetic moment on the atom in μB.
Atoms (fractional coordinates):
Cr (0.0000, 0.0000, 0.0000)  1.03
Cr (0.7500, 0.2500, 0.5000)  1.02
W (0.5154, 0.1250, 0.2500)  -0.03
W (0.2346, 0.6250, 0.2500)  -0.03
W (0.3750, 0.4846, 0.7500)  -0.04
W (0.8750, 0.7654, 0.7500)  -0.03
H (0.5000, 0.5000, 0.0000)  0.00
H (0.2500, 0.7500, 0.5000)  0.00

Properties
Final energy: -9.11 eV/atom
Relative energy among the computed polymorphs: 0 meV/atom
V: 49.4 Å³/f.u.
SG: I-42d, No. 122

=====

Record 2
DFT (PBE) results for a relaxed Na6ZnBr8 crystal.

abc: 8.4487 8.4487 8.4487
angles: 60.00 60.00 60.00
Atoms (fractional coordinates):
Na (0.0000, 0.5000, 0.5000)
Na (0.5000, 0.0000, 0.0000)
Na (0.5000, 0.5000, 0.0000)
Na (0.0000, 0.0000, 0.5000)
Na (0.0000, 0.5000, 0.0000)
Na (0.5000, 0.0000, 0.5000)
Zn (0.0000, 0.0000, 0.0000)
Br (0.7500, 0.7500, 0.7500)
Br (0.2500, 0.2500, 0.2500)
Br (0.7750, 0.2250, 0.2250)
Br (0.2250, 0.7750, 0.7750)
Br (0.2250, 0.2250, 0.7750)
Br (0.7750, 0.7750, 0.2250)
Br (0.7750, 0.2250, 0.7750)
Br (0.2250, 0.7750, 0.2250)

Properties
Final energy: -2.91 eV/atom
V: 426.4 Å³/f.u.
Formation energy (no corrections): -1.40 eV/atom
SG: Fm-3m, No. 225

=====

Record 3
DFT (PBE) results for a relaxed Ag4PtAu6 crystal.

abc: 4.8894 4.5896 21.4222
angles: 90.00 90.00 122.19
Atoms (fractional coordinates):
Ag (0.8527, 0.7054, 0.5495)
Ag (0.4580, 0.9160, 0.1279)
Ag (0.1473, 0.2946, 0.4505)
Ag (0.5420, 0.0840, 0.8721)
Ag (0.8527, 0.7054, 0.9505)
Ag (0.1473, 0.2946, 0.0495)
Ag (0.5420, 0.0840, 0.6279)
Ag (0.4580, 0.9160, 0.3721)
Pt (0.7026, 0.4053, 0.2500)
Pt (0.2974, 0.5947, 0.7500)
Au (0.5000, 0.0000, 0.0000)
Au (0.5000, 0.0000, 0.5000)
Au (0.0417, 0.0834, 0.3152)
Au (0.9583, 0.9166, 0.6848)
Au (0.9583, 0.9166, 0.8152)
Au (0.0417, 0.0834, 0.1848)
Au (0.7995, 0.5990, 0.4139)
Au (0.2005, 0.4010, 0.5861)
Au (0.2005, 0.4010, 0.9139)
Au (0.7995, 0.5990, 0.0861)
Au (0.3575, 0.7150, 0.2500)
Au (0.6425, 0.2850, 0.7500)

Properties
Final energy: -3.29 eV/atom
Formation enthalpy at 0 K: 0.079 eV per atom
Relative energy among the computed polymorphs: 0 meV/atom
V: 203.4 Å³/f.u.
SG: Cmcm, No. 63

=====

Record 4
DFT (PBE) results for a relaxed Th5NiBi3 crystal.

abc: 6.5605 9.6300 9.6300
angles: 120.00 90.00 90.00
Atoms (fractional coordinates):
Th (0.0000, 0.3333, 0.6667)
Th (0.5000, 0.6667, 0.3333)
Th (0.0000, 0.6667, 0.3333)
Th (0.5000, 0.3333, 0.6667)
Th (0.7500, 0.7559, 0.0000)
Th (0.7500, 0.2441, 0.2441)
Th (0.7500, 0.0000, 0.7559)
Th (0.2500, 0.2441, 0.0000)
Th (0.2500, 0.7559, 0.7559)
Th (0.2500, 0.0000, 0.2441)
Ni (0.0000, 0.0000, 0.0000)
Ni (0.5000, 0.0000, 0.0000)
Bi (0.7500, 0.3918, 0.0000)
Bi (0.7500, 0.6082, 0.6082)
Bi (0.7500, 0.0000, 0.3918)
Bi (0.2500, 0.6082, 0.0000)
Bi (0.2500, 0.3918, 0.3918)
Bi (0.2500, 0.0000, 0.6082)

Properties
Final energy: -6.61 eV/atom
Formation enthalpy at 0 K: -0.548 eV per atom
V: 263.4 Å³/f.u.
SG: P6_3/mcm, No. 193

=====

Record 5
DFT (PBE) results for a relaxed MnTe2P crystal.

abc: 5.0046 5.0046 5.0049
angles: 69.09 69.09 106.61
Last column: magnetic moment on the atom in μB.
Atoms (fractional coordinates):
Mn (0.5000, 0.5000, 0.5000)  4.11
Te (0.0000, 0.5000, 0.0000)  -0.02
Te (0.5000, 0.0000, 0.0000)  -0.02
P (0.0000, 0.0000, 0.5000)  0.01

Properties
Final energy: -5.00 eV/atom
V: 96.3 Å³/f.u.
Formation energy (no corrections): 0.22 eV/atom
SG: I4/mmm, No. 139

=====

Record 6
DFT (PBE) results for a relaxed Tm2AgTe6Pb3 crystal.

abc: 4.4255 9.0782 10.1518
angles: 103.70 102.59 90.00
Atoms (fractional coordinates):
Tm (0.8343, 0.6648, 0.6686)
Tm (0.1657, 0.3352, 0.3314)
Ag (0.5000, 0.0000, 0.0000)
Te (0.3281, 0.8958, 0.6562)
Te (0.6716, 0.5732, 0.3432)
Te (0.6719, 0.1042, 0.3438)
Te (0.0092, 0.2324, 0.0183)
Te (0.9908, 0.7676, 0.9817)
Te (0.3284, 0.4268, 0.6568)
Pb (0.5000, 0.5000, 0.0000)
Pb (0.8399, 0.1597, 0.6799)
Pb (0.1601, 0.8403, 0.3201)

Properties
Final energy: -4.12 eV/atom
V: 386.1 Å³/f.u.
Formation energy (no corrections): -0.64 eV/atom
SG: C2/m, No. 12

=====

Record 7
DFT (PBE) results for a relaxed AgPd3 crystal.

abc: 2.7896 4.6707 4.9112
angles: 90.00 90.00 90.00
Atoms (fractional coordinates):
Pd (0.0000, 0.5000, 0.3345)
Pd (0.5000, 0.0000, 0.5018)
Pd (0.5000, 0.5000, 0.8273)
Ag (0.0000, 0.0000, 0.0030)

Properties
Final energy: -4.59 eV/atom
Formation enthalpy at 0 K: 0.013 eV per atom
V: 64.0 Å³/f.u.
SG: Pmm2, No. 25

=====

Record 8
DFT (PBE) results for a relaxed ErAgPO4 crystal.

abc: 5.7072 6.3804 6.3804
angles: 68.69 63.43 63.43
Atoms (fractional coordinates):
Er (0.0000, 0.0000, 0.0000)
Er (0.0000, 0.5000, 0.5000)
Ag (0.5000, 0.0000, 0.5000)
Ag (0.0000, 0.0000, 0.5000)
P (0.6443, 0.6057, 0.1057)
P (0.3557, 0.3943, 0.8943)
O (0.7407, 0.6874, 0.8312)
O (0.2593, 0.6688, 0.8126)
O (0.7407, 0.3312, 0.1874)
O (0.2593, 0.3126, 0.1688)
O (0.3135, 0.7124, 0.2124)
O (0.7618, 0.7124, 0.2124)
O (0.2382, 0.2876, 0.7876)
O (0.6865, 0.2876, 0.7876)

Properties
Final energy: -6.76 eV/atom
V: 91.0 Å³/f.u.
Formation energy (no corrections): -2.09 eV/atom
SG: Imma, No. 74

=====

For reference, calculated density by record: 14.2, 3.3, 14.8, 11.6, 5.9, 7.9, 11.1, 6.8 g/cm³.
For reference, size of the total moment by record: 0.2524, 0.0000, 0.0000, 0.0000, 1.1101, 0.0000, 0.0007, 0.0000 μB per atom.